[1]
Here is a geometry-optimized MnCoCl2 structure from Alexandria. Energies are from PBEsol.

## Properties
volume	57	Å³ per cell
total magnetization	6.02	μB per cell
E above lowest polymorph	321.1	meV/atom

Cell lengths 4.298, 4.298, 3.083 Å; angles 90.00, 90.00, 90.00 degrees
Space group P4/mmm (No. 123)
One atom of each set of equivalent atoms:
Mn (0.000, 0.000, 0.000) [1 per cell]
Co (0.500, 0.500, 0.000) [1 per cell]
Cl (0.000, 0.500, 0.500) [2 per cell]


[2]
Here is a geometry-optimized MnCo2Cl structure from Alexandria. Energies are from PBEsol.

## Properties
volume	95	Å³ per cell
total magnetization	12.60	μB per cell
E above lowest polymorph	206.0	meV/atom

Cell lengths 2.736, 4.119, 8.469 Å; angles 90.00, 90.00, 90.00 degrees
Space group Immm (No. 71)
One atom of each set of equivalent atoms:
Mn (0.000, 0.000, 0.000) [2 per cell]
Co (0.000, 0.500, 0.231) [4 per cell]
Cl (0.000, 0.000, 0.500) [2 per cell]


[3]
Here is a geometry-optimized MnCo2Cl structure from Alexandria. Energies are from PBEsol.

## Properties
volume	126	Å³ per cell
total magnetization	14.31	μB per cell
E above lowest polymorph	22.4	meV/atom

Cell lengths 7.080, 2.890, 6.167 Å; angles 90.00, 91.60, 90.00 degrees
Space group Cm (No. 8)
One atom of each set of equivalent atoms:
Mn (0.000, 0.000, 0.000) [2 per cell]
Co (0.216, 0.500, 0.222) [2 per cell]
Co (0.434, 0.000, 0.352) [2 per cell]
Cl (0.408, 0.000, 0.712) [2 per cell]


[4]
Here is a geometry-optimized MnCoS2Cl structure from Alexandria. Energies are from PBEsol.

## Properties
volume	92	Å³ per cell
total magnetization	6.26	μB per cell
total energy	-0.190	Ha/atom

Cell lengths 4.529, 4.529, 4.491 Å; angles 90.00, 90.00, 90.00 degrees
Space group P4/mmm (No. 123)
One atom of each set of equivalent atoms:
Mn (0.000, 0.000, 0.000) [1 per cell]
Co (0.500, 0.500, 0.500) [1 per cell]
S (0.000, 0.500, 0.000) [2 per cell]
Cl (0.000, 0.000, 0.500) [1 per cell]


[5]
Here is a geometry-optimized Co3MoCl structure from Alexandria. Energies are from PBEsol.

## Properties
volume	87	Å³ per cell
total magnetization	2.24	μB per cell
total energy	-0.209	Ha/atom

Cell lengths 4.427, 4.427, 4.427 Å; angles 90.00, 90.00, 90.00 degrees
Space group Pm-3m (No. 221)
One atom of each set of equivalent atoms:
Co (0.000, 0.000, 0.500) [3 per cell]
Mo (0.000, 0.000, 0.000) [1 per cell]
Cl (0.500, 0.500, 0.500) [1 per cell]


[6]
Here is a geometry-optimized CoMoCl structure from Alexandria. Energies are from PBEsol.

## Properties
volume	84	Å³ per cell
total magnetization	0.93	μB per cell
E above lowest polymorph	0.0	meV/atom

Cell lengths 2.814, 2.814, 10.619 Å; angles 90.00, 90.00, 90.00 degrees
Space group I4mm (No. 107)
One atom of each set of equivalent atoms:
Co (0.000, 0.000, 0.000) [2 per cell]
Mo (0.000, 0.000, 0.641) [2 per cell]
Cl (0.000, 0.000, 0.301) [2 per cell]